Here is a geometry-optimized FeCuRuSe2 structure from the Alexandria database. Energies are from PBE.

VASP energy, eV/atom: -4.866

Lattice parameters (Å, degrees): 4.7535 4.7535 4.7711 90.00 90.00 90.00
Last column: nearest neighbours and their distance in Å.
Space group P4/mmm (No. 123)
Inequivalent atoms, fractional coordinates:
Fe: 0.0000 0.0000 0.0000  2 Ru 2.39
Cu: 0.5000 0.5000 0.0000  4 Fe 3.36, 8 Se 3.37
Ru: 0.0000 0.0000 0.5000  4 Se 2.38, 2 Fe 2.39
Se: 0.0000 0.5000 0.5000  2 Ru 2.38



Here is a geometry-optimized CsReAs2 structure from the Alexandria database. Energies are from PBE.

ΔE_f, eV/atom: 0.299

Lattice parameters (Å, degrees): 3.4042 3.4042 30.8559 90.00 90.00 120.00
Last column: nearest neighbours and their distance in Å.
Space group R-3m (No. 166, hexagonal axes)
Inequivalent atoms, fractional coordinates:
Cs: 0.0000 0.0000 0.0000  6 Cs 3.40, 2 As 3.49
Re: 0.0000 0.0000 0.5000  6 As 2.57
As: 0.0000 0.0000 0.1131  3 Re 2.57



Here is a geometry-optimized LaPrCo structure from the Alexandria database. Energies are from PBE.

ΔE_f, eV/atom: -0.088

Lattice parameters (Å, degrees): 12.9243 3.8759 8.8881 90.00 129.89 90.00
Last column: nearest neighbours and their distance in Å.
Space group C2/m (No. 12)
Inequivalent atoms, fractional coordinates:
La: 0.0659 0.0000 0.3701  2 Co 2.65
Pr: 0.1936 0.5000 0.1084  3 Co 2.84-3.06
Co: 0.0973 0.5000 0.6916  1 Co 2.63, 2 La 2.65, 2 Pr 2.84



Here is a geometry-optimized K2CrHg structure from the Alexandria database. Energies are from PBE.

ΔE_f, eV/atom: 0.398

Lattice parameters (Å, degrees): 5.1081 4.9742 6.8176 90.00 111.92 90.00
Last column: nearest neighbours and their distance in Å.
Space group Pm (No. 6)
Inequivalent atoms, fractional coordinates:
K: 0.0000 0.0000 0.0000  3 Cr 3.59-3.79, 4 Hg 3.77
K: 0.3002 0.5000 0.6022  3 Hg 3.63-3.74, 4 Cr 3.78-3.79
Cr: 0.6990 0.0000 0.4003  2 Hg 2.81
Hg: 0.5962 0.5000 0.1936  2 Cr 2.81



Here is a geometry-optimized ScCoH2Pd structure from the Alexandria database. Energies are from PBE.

VASP energy, eV/atom: -4.771

Lattice parameters (Å, degrees): 3.6018 3.6018 5.1966 90.00 90.00 90.00
Last column: nearest neighbours and their distance in Å.
Space group P4/mmm (No. 123)
Inequivalent atoms, fractional coordinates:
Sc: 0.0000 0.0000 0.0000  4 H 1.80
Co: 0.0000 0.0000 0.5000  4 Pd 2.55, 2 Sc 2.60
H: 0.0000 0.5000 0.0000  2 Sc 1.80
Pd: 0.5000 0.5000 0.5000  4 Co 2.55



Here is a geometry-optimized KOsBr2F structure from the Alexandria database. Energies are from PBE.

VASP energy, eV/atom: -3.697

Lattice parameters (Å, degrees): 4.7951 4.7951 7.3921 90.00 90.00 90.00
Last column: nearest neighbours and their distance in Å.
Space group P4/mmm (No. 123)
Inequivalent atoms, fractional coordinates:
K: 0.0000 0.0000 0.0000  4 F 3.39, 2 Os 3.70
Os: 0.0000 0.0000 0.5000  4 Br 2.40
Br: 0.0000 0.5000 0.5000  2 Os 2.40
F: 0.5000 0.5000 0.0000  4 K 3.39



Here is a geometry-optimized SnAs structure from the Alexandria database. Energies are from PBE.

ΔE_f, eV/atom: -0.038

Lattice parameters (Å, degrees): 4.1177 4.1177 24.6353 90.00 90.00 120.00
Last column: nearest neighbours and their distance in Å.
Space group R3m (No. 160, hexagonal axes)
Inequivalent atoms, fractional coordinates:
Sn: 0.0000 0.0000 0.0000  3 As 2.68, 1 Sn 2.89
Sn: 0.0000 0.0000 0.1173  3 As 2.68, 1 Sn 2.89
As: 0.0000 0.0000 0.6167  3 Sn 2.68
As: 0.0000 0.0000 0.8338  3 Sn 2.68



Here is a geometry-optimized CeZn20Ir2 structure from the Alexandria database. Energies are from PBE.

ΔE_f, eV/atom: -0.215

Lattice parameters (Å, degrees): 14.2855 14.2855 14.2855 90.00 90.00 90.00
Last column: nearest neighbours and their distance in Å.
Space group Fd-3m (No. 227, origin choice 2)
Inequivalent atoms, fractional coordinates:
Ce: 0.1250 0.1250 0.1250  16 Zn 3.09-3.12
Zn: 0.0000 0.0000 0.0000  12 Zn 3.03, 2 Ce 3.09
Zn: 0.0139 0.3750 0.8750  2 Ir 2.53, 10 Zn 2.67-2.83
Zn: 0.0602 0.0602 0.3231  8 Zn 2.62-2.92, 1 Ir 2.81
Ir: 0.0000 0.0000 0.5000  12 Zn 2.53-2.81



Here is a geometry-optimized AcDyC2O8 structure from the Alexandria database. Energies are from PBE.

VASP energy, eV/atom: -7.573

Lattice parameters (Å, degrees): 8.6804 5.0479 6.7077 90.00 115.66 90.00
Last column: nearest neighbours and their distance in Å.
Space group C2/m (No. 12)
Inequivalent atoms, fractional coordinates:
Ac: 0.0000 0.0000 0.0000  14 O 2.84-2.88
Dy: 0.0000 0.5000 0.5000  6 O 2.33-2.34
C: 0.2356 0.0000 0.7071  4 O 1.39
O: 0.0880 0.5000 0.2166  1 C 1.39
O: 0.1615 0.0000 0.4770  1 C 1.39
O: 0.1841 0.2251 0.7806  1 C 1.39



Here is a geometry-optimized YTh2Au3 structure from the Alexandria database. Energies are from PBE.

ΔE_f, eV/atom: -0.655

Lattice parameters (Å, degrees): 5.1804 16.2193 3.5629 90.00 90.00 90.00
Last column: nearest neighbours and their distance in Å.
Space group Pmmn (No. 59, origin choice 2)
Inequivalent atoms, fractional coordinates:
Y: 0.2500 0.2500 0.0013  8 Au 3.08-3.14
Th: 0.2500 0.5801 0.9984  8 Au 3.15-3.36
Au: 0.2500 0.0949 0.5012  2 Y 3.08, 6 Th 3.15-3.36
Au: 0.2500 0.7500 0.4993  4 Y 3.14, 4 Th 3.28



Here is a geometry-optimized Pm12ErGe7 structure from the Alexandria database. Energies are from PBE.

ΔE_f, eV/atom: -0.438

Lattice parameters (Å, degrees): 15.0098 15.0098 9.9483 90.00 90.00 120.00
Last column: nearest neighbours and their distance in Å.
Space group R-3 (No. 148, hexagonal axes)
Inequivalent atoms, fractional coordinates:
Pm: 0.0306 0.5931 0.1635  3 Ge 2.90-2.92
Pm: 0.0511 0.1822 0.8374  3 Ge 2.93-2.94
Er: 0.0000 0.0000 0.5000  6 Ge 2.96
Ge: 0.0000 0.0000 0.0000  6 Pm 2.93
Ge: 0.0508 0.1803 0.3280  5 Pm 2.90-2.94, 1 Er 2.96



| no. | size of the total moment (μB/cell) | theoretical density (Mg/m³) |
| --- | --- | --- |
| 1 | 3.384 | 5.83 |
| 2 | 0.092 | 7.54 |
| 3 | 0.000 | 6.59 |
| 4 | 5.007 | 3.42 |
| 5 | 1.891 | 5.23 |
| 6 | 1.197 | 3.99 |
| 7 | 0.000 | 5.33 |
| 8 | 1.694 | 8.35 |
| 9 | 4.032 | 6.79 |
| 10 | 0.000 | 12.69 |
| 11 | 8.241 | 6.20 |